This record from Alexandria describes ZrNbZnW after structural relaxation. The functional is PBE.

Unit cell a=4.6598 b=4.6598 c=4.6598 alpha=60.00 beta=60.00 gamma=60.00
Closest atoms and distances in Å follow each position.
Sites, in units of the cell vectors:
Zn: 0.0000 0.0000 0.0000  4 Zr 2.85, 4 Nb 2.85
Nb: 0.2500 0.2500 0.2500  4 Zn 2.85, 4 W 2.85
Zr: 0.7500 0.7500 0.7500  4 W 2.85, 4 Zn 2.85
W: 0.5000 0.5000 0.5000  4 Zr 2.85, 4 Nb 2.85

Summary:
The energy of formation is 0.038 eV/atom. The calculation puts the total magnetic moment at 0.000 μB/f.u. The calculation puts the calculated volume at 72 Å³/cell.

=====

This record from Alexandria describes ErGaNi after structural relaxation. The functional is PBE.

Unit cell a=3.2210 b=3.2210 c=5.5890 alpha=106.75 beta=106.75 gamma=90.00
Closest atoms and distances in Å follow each position.
Sites, in units of the cell vectors:
Ni: 0.6904 0.6904 0.3809  4 Ga 2.55
Ga: 0.3022 0.3022 0.6043  4 Ni 2.55
Er: 0.0074 0.0074 0.0148  5 Ni 2.95-3.24, 5 Ga 3.01-3.09, 4 Er 3.22

Summary:
The energy of formation is -0.430 eV/atom. The calculation puts the total magnetic moment at 0.000 μB/f.u. The calculation puts the calculated volume at 53 Å³/cell.

=====

This record from Alexandria describes LaY2Ni after structural relaxation. The functional is PBE.

Unit cell a=8.5284 b=8.5284 c=6.8113 alpha=51.24 beta=51.24 gamma=90.00
Closest atoms and distances in Å follow each position.
Sites, in units of the cell vectors:
Y: 0.5425 0.1250 0.2500  2 Ni 2.69
Y: 0.2075 0.6250 0.2500  2 Ni 2.69
Y: 0.3750 0.4575 0.7500  2 Ni 2.69
Y: 0.8750 0.7925 0.7500  2 Ni 2.69
Ni: 0.5000 0.5000 0.0000  4 Y 2.69
Ni: 0.2500 0.7500 0.5000  4 Y 2.69
La: 0.0000 0.0000 0.0000  2 Ni 3.17, 4 Y 3.50
La: 0.7500 0.2500 0.5000  2 Ni 3.17, 4 Y 3.50

Summary:
The energy of formation is -0.009 eV/atom. The calculation puts the total magnetic moment at 0.000 μB/f.u. The calculation puts the calculated volume at 230 Å³/cell. The calculation puts the energy above the most stable polymorph in this dataset at 0.208 eV/atom.

=====

This record from Alexandria describes CaPrTh2P4 after structural relaxation. The functional is PBE.

Unit cell a=4.1758 b=7.2264 c=7.1944 alpha=109.58 beta=90.00 gamma=90.00
Closest atoms and distances in Å follow each position.
Sites, in units of the cell vectors:
Ca: 0.5000 0.5000 0.0000  6 P 2.97-2.98
Pr: 0.0000 0.0000 0.0000  6 P 2.97-2.98
Th: 0.5000 0.0000 0.5000  6 P 2.91-2.92
Th: 0.0000 0.5000 0.5000  6 P 2.91-2.92
P: 0.5000 0.2527 0.2569  3 Th 2.92, 1 Ca 2.97, 2 Pr 2.97
P: 0.5000 0.7473 0.7431  3 Th 2.92, 1 Ca 2.97, 2 Pr 2.97
P: 0.0000 0.2469 0.7408  3 Th 2.91, 1 Pr 2.98, 2 Ca 2.98
P: 0.0000 0.7531 0.2592  3 Th 2.91, 1 Pr 2.98, 2 Ca 2.98

Summary:
The energy of formation is -1.484 eV/atom. The calculation puts the total magnetic moment at 0.000 μB/f.u. The calculation puts the calculated volume at 205 Å³/cell.

=====

This record from Alexandria describes As2PbIBr after structural relaxation. The functional is PBE.

Unit cell a=5.6758 b=5.6758 c=5.6066 alpha=90.00 beta=90.00 gamma=90.00
Closest atoms and distances in Å follow each position.
Sites, in units of the cell vectors:
Pb: 0.0000 0.0000 0.0000  2 Br 2.80, 4 As 2.84
I: 0.5000 0.5000 0.5000  8 As 3.99, 4 Br 4.01
As: 0.0000 0.5000 0.0000  2 Pb 2.84
As: 0.5000 0.0000 0.0000  2 Pb 2.84
Br: 0.0000 0.0000 0.5000  2 Pb 2.80

Summary:
Its formation energy without anion corrections is 0.641 eV per atom. The calculation puts the total magnetic moment at 2.241 μB/f.u. The calculation puts the calculated volume at 181 Å³/cell. The calculation puts the energy above the most stable polymorph in this dataset at 0.000 eV/atom.

=====

This record from Alexandria describes YZr2Se4 after structural relaxation. The functional is PBE.

Unit cell a=3.7721 b=6.5587 c=13.8325 alpha=90.00 beta=90.00 gamma=106.71
Closest atoms and distances in Å follow each position.
Sites, in units of the cell vectors:
Y: 0.6051 0.2102 0.7500  6 Se 2.82-2.88
Y: 0.3949 0.7898 0.2500  6 Se 2.82-2.88
Zr: 0.1490 0.2980 0.4413  6 Se 2.69-2.86
Zr: 0.8510 0.7020 0.9413  6 Se 2.69-2.86
Zr: 0.1490 0.2980 0.0587  6 Se 2.69-2.86
Zr: 0.8510 0.7020 0.5587  6 Se 2.69-2.86
Se: 0.7866 0.5732 0.1267  3 Zr 2.69-2.73, 2 Y 2.88
Se: 0.7866 0.5732 0.3733  3 Zr 2.69-2.73, 2 Y 2.88
Se: 0.2134 0.4268 0.8733  3 Zr 2.69-2.73, 2 Y 2.88
Se: 0.2134 0.4268 0.6267  3 Zr 2.69-2.73, 2 Y 2.88
Se: 0.9383 0.8766 0.7500  2 Y 2.82, 2 Zr 2.86
Se: 0.0617 0.1234 0.2500  2 Y 2.82, 2 Zr 2.86
Se: 0.5000 0.0000 0.0000  4 Zr 2.78
Se: 0.5000 0.0000 0.5000  4 Zr 2.78

Summary:
Its formation energy without anion corrections is -1.408 eV per atom. The calculation puts the total magnetic moment at 0.000 μB/f.u. The calculation puts the calculated volume at 328 Å³/cell.